Run P
The following is a GGA+U calculation of a geometry-optimized Ge3MoO structure, from the Alexandria database.

```
Ge3MoO
1.0
-3.6868 0.7583 -2.3014
2.1775 -0.8013 -3.7524
-1.0630 -4.2716 0.2953
Ge O Mo
3 1 1
Direct
0.0000 0.0000 0.5000
0.5000 0.0000 0.0000
0.0000 0.5000 0.0000
0.0000 0.0000 0.0000
0.5000 0.5000 0.5000
```

Symmetry   Pm-3m, No. 221
Spin magnetization   3.4 μB/f.u.

***

Run Q
The following is a GGA+U calculation of a geometry-optimized Ge3MoO structure, from the Alexandria database.

```
Ge3MoO
1.0
4.8988 0.0000 0.0000
0.0000 4.8988 0.0000
0.0000 0.0000 4.8988
Ge O Mo
3 1 1
Direct
0.0000 0.0000 0.5000
0.0000 0.5000 0.0000
0.5000 0.0000 0.0000
0.5000 0.5000 0.5000
0.0000 0.0000 0.0000
```

Symmetry   Pm-3m, No. 221
Spin magnetization   2.0 μB/f.u.

***

Stability check: which of them is most stable? run P.

***

Run P
The following is a GGA+U calculation of a geometry-optimized GeMo2O structure, from the Alexandria database.

```
GeMo2O
1.0
0.1260 -3.8757 -1.8327
-1.1810 -3.4670 2.2319
-3.6498 -2.0336 -0.9691
O Ge Mo
1 1 2
Direct
0.0000 0.0000 0.0000
0.5000 0.5000 0.5000
0.2500 0.2500 0.2500
0.7500 0.7500 0.7500
```

Symmetry   Fm-3m, No. 225
Spin magnetization   2.0 μB/f.u.

***

Run Q
The following is a GGA+U calculation of a geometry-optimized GeMo2O structure, from the Alexandria database.

```
GeMo2O
1.0
-3.1655 0.4700 4.1651
-0.5381 -5.2219 0.1803
2.8133 -2.7329 5.7585
O Mo Ge
2 4 2
Direct
0.5000 0.5000 0.0000
0.2500 0.7500 0.5000
0.5337 0.1250 0.2500
0.2163 0.6250 0.2500
0.3750 0.4663 0.7500
0.8750 0.7837 0.7500
0.7500 0.2500 0.5000
0.0000 0.0000 0.0000
```

Symmetry   I-42d, No. 122
Spin magnetization   6.0 μB/f.u.

***

Stability check: which of them is most stable? run Q.